[1]
This record from the Alexandria database describes Ho5In4Pt2 after structural relaxation. The functional is GGA-PBEsol.

E_tot in eV/atom: -5.4526
Space-group type: No. 55
DOS(E_F) in states/eV per atom: 0.516
Crystal system: orthorhombic

Structure (POSCAR):
```
Ho5In4Pt2
1.0
7.918 0.000 0.000
0.000 17.912 0.000
0.000 0.000 3.579
Ho In Pt
10 8 4
direct
0.000 0.000 0.000 Ho
0.117 0.416 0.000 Ho
0.244 0.221 0.000 Ho
0.256 0.721 0.000 Ho
0.383 0.916 0.000 Ho
0.500 0.500 0.000 Ho
0.617 0.084 0.000 Ho
0.744 0.279 0.000 Ho
0.756 0.779 0.000 Ho
0.883 0.584 0.000 Ho
0.075 0.852 0.500 In
0.210 0.568 0.500 In
0.290 0.068 0.500 In
0.425 0.352 0.500 In
0.575 0.648 0.500 In
0.710 0.932 0.500 In
0.790 0.432 0.500 In
0.925 0.148 0.500 In
0.027 0.304 0.500 Pt
0.473 0.804 0.500 Pt
0.527 0.196 0.500 Pt
0.973 0.696 0.500 Pt
```

[2]
This record from the Alexandria database describes HoIn5Rh after structural relaxation. The functional is GGA-PBEsol.

E_tot in eV/atom: -4.4545
Space-group type: No. 123
DOS(E_F) in states/eV per atom: 0.314
Crystal system: tetragonal

Structure (POSCAR):
```
HoIn5Rh
1.0
4.574 0.000 0.000
0.000 4.574 0.000
0.000 0.000 7.339
Ho In Rh
1 5 1
direct
0.000 0.000 0.000 Ho
0.000 0.500 0.299 In
0.000 0.500 0.701 In
0.500 0.000 0.299 In
0.500 0.000 0.701 In
0.500 0.500 0.000 In
0.000 0.000 0.500 Rh
```

[3]
This record from the Alexandria database describes Ho4InRh after structural relaxation. The functional is GGA-PBEsol.

E_tot in eV/atom: -5.7219
Space-group type: No. 216
DOS(E_F) in states/eV per atom: 0.584
Crystal system: cubic

Structure (POSCAR):
```
Ho4InRh
1.0
0.000 6.676 6.676
6.676 0.000 6.676
6.676 6.676 0.000
Ho In Rh
16 4 4
direct
0.188 0.188 0.812 Ho
0.188 0.812 0.188 Ho
0.188 0.812 0.812 Ho
0.400 0.400 0.400 Ho
0.400 0.400 0.800 Ho
0.400 0.800 0.400 Ho
0.560 0.560 0.940 Ho
0.560 0.940 0.560 Ho
0.560 0.940 0.940 Ho
0.800 0.400 0.400 Ho
0.812 0.188 0.188 Ho
0.812 0.188 0.812 Ho
0.812 0.812 0.188 Ho
0.940 0.560 0.560 Ho
0.940 0.560 0.940 Ho
0.940 0.940 0.560 Ho
0.167 0.167 0.167 In
0.167 0.167 0.498 In
0.167 0.498 0.167 In
0.498 0.167 0.167 In
0.177 0.608 0.608 Rh
0.608 0.177 0.608 Rh
0.608 0.608 0.177 Rh
0.608 0.608 0.608 Rh
```

[4]
This record from the Alexandria database describes Ho3InS6 after structural relaxation. The functional is GGA-PBEsol.

Formation energy without anion corrections in eV/atom: -1.753
E_tot in eV/atom: -6.1664
Space-group type: No. 18
Crystal system: orthorhombic

Structure (POSCAR):
```
Ho3InS6
1.0
13.224 0.000 0.000
0.000 16.270 0.000
0.000 0.000 3.780
Ho In S
12 4 24
direct
0.040 0.225 0.250 Ho
0.189 0.646 0.250 Ho
0.250 0.393 0.251 Ho
0.250 0.893 0.749 Ho
0.311 0.146 0.750 Ho
0.460 0.725 0.750 Ho
0.540 0.275 0.750 Ho
0.689 0.854 0.750 Ho
0.750 0.107 0.749 Ho
0.750 0.607 0.251 Ho
0.811 0.354 0.250 Ho
0.960 0.775 0.250 Ho
0.000 0.000 0.748 In
0.000 0.500 0.751 In
0.500 0.000 0.249 In
0.500 0.500 0.252 In
0.022 0.394 0.250 S
0.097 0.911 0.249 S
0.112 0.119 0.749 S
0.113 0.747 0.750 S
0.182 0.286 0.750 S
0.195 0.521 0.750 S
0.305 0.021 0.250 S
0.318 0.786 0.250 S
0.387 0.247 0.250 S
0.388 0.619 0.251 S
0.403 0.411 0.751 S
0.478 0.894 0.750 S
0.522 0.106 0.750 S
0.597 0.589 0.751 S
0.612 0.381 0.251 S
0.613 0.753 0.250 S
0.682 0.214 0.250 S
0.695 0.979 0.250 S
0.805 0.479 0.750 S
0.818 0.714 0.750 S
0.887 0.253 0.750 S
0.888 0.881 0.749 S
0.903 0.089 0.249 S
0.978 0.606 0.250 S
```

[5]
This record from the Alexandria database describes Ho4In5S13 after structural relaxation. The functional is GGA-PBEsol.

Formation energy without anion corrections in eV/atom: -1.241
E_tot in eV/atom: -5.4096
Space-group type: No. 55
DOS(E_F) in states/eV per atom: 0.158
Crystal system: orthorhombic

Structure (POSCAR):
```
Ho4In5S13
1.0
11.752 0.000 0.000
0.000 21.098 0.000
0.000 0.000 3.787
Ho In S
8 10 26
direct
0.018 0.173 0.000 Ho
0.177 0.340 0.000 Ho
0.323 0.840 0.000 Ho
0.482 0.673 0.000 Ho
0.518 0.327 0.000 Ho
0.677 0.160 0.000 Ho
0.823 0.660 0.000 Ho
0.982 0.827 0.000 Ho
0.000 0.500 0.000 In
0.154 0.992 0.500 In
0.158 0.668 0.500 In
0.342 0.168 0.500 In
0.346 0.492 0.500 In
0.500 0.000 0.000 In
0.654 0.508 0.500 In
0.658 0.832 0.500 In
0.842 0.332 0.500 In
0.846 0.008 0.500 In
0.000 0.000 0.000 S
0.007 0.406 0.500 S
0.087 0.261 0.500 S
0.147 0.864 0.500 S
0.154 0.114 0.500 S
0.163 0.741 0.000 S
0.204 0.472 0.000 S
0.296 0.972 0.000 S
0.337 0.241 0.000 S
0.346 0.614 0.500 S
0.353 0.364 0.500 S
0.413 0.761 0.500 S
0.493 0.906 0.500 S
0.500 0.500 0.000 S
0.507 0.094 0.500 S
0.587 0.239 0.500 S
0.647 0.636 0.500 S
0.654 0.386 0.500 S
0.663 0.759 0.000 S
0.704 0.028 0.000 S
0.796 0.528 0.000 S
0.837 0.259 0.000 S
0.846 0.886 0.500 S
0.853 0.136 0.500 S
0.913 0.739 0.500 S
0.993 0.594 0.500 S
```

[6]
This record from the Alexandria database describes Ho2TlIn after structural relaxation. The functional is GGA-PBEsol.

E_tot in eV/atom: -4.3287
Space-group type: No. 225
DOS(E_F) in states/eV per atom: 0.667
Crystal system: cubic

Structure (POSCAR):
```
Ho2TlIn
1.0
0.000 3.696 3.696
3.696 0.000 3.696
3.696 3.696 0.000
Ho Tl In
2 1 1
direct
0.250 0.250 0.250 Ho
0.750 0.750 0.750 Ho
0.000 0.000 0.000 Tl
0.500 0.500 0.500 In
```

[7]
This record from the Alexandria database describes Ho2ZnIn after structural relaxation. The functional is GGA-PBEsol.

E_tot in eV/atom: -4.0397
Space-group type: No. 225
DOS(E_F) in states/eV per atom: 0.822
Crystal system: cubic

Structure (POSCAR):
```
Ho2ZnIn
1.0
0.000 3.595 3.595
3.595 0.000 3.595
3.595 3.595 0.000
Ho Zn In
2 1 1
direct
0.250 0.250 0.250 Ho
0.750 0.750 0.750 Ho
0.000 0.000 0.000 Zn
0.500 0.500 0.500 In
```

[8]
This record from the Alexandria database describes Ho3Ir2 after structural relaxation. The functional is GGA-PBEsol.

E_tot in eV/atom: -7.6958
Space-group type: No. 140
DOS(E_F) in states/eV per atom: 0.481
Crystal system: tetragonal

Structure (POSCAR):
```
Ho3Ir2
1.0
-5.503 5.503 12.348
5.503 -5.503 12.348
5.503 5.503 -12.348
Ho Ir
42 28
direct
0.000 0.278 0.134 Ho
0.000 0.722 0.866 Ho
0.017 0.727 0.132 Ho
0.095 0.227 0.710 Ho
0.113 0.613 0.500 Ho
0.115 0.983 0.710 Ho
0.134 0.000 0.278 Ho
0.144 0.866 0.866 Ho
0.153 0.347 0.500 Ho
0.222 0.500 0.866 Ho
0.227 0.517 0.132 Ho
0.250 0.750 0.500 Ho
0.273 0.405 0.290 Ho
0.278 0.144 0.278 Ho
0.347 0.847 0.193 Ho
0.356 0.222 0.722 Ho
0.366 0.644 0.866 Ho
0.385 0.095 0.868 Ho
0.387 0.887 0.500 Ho
0.405 0.115 0.132 Ho
0.483 0.615 0.710 Ho
0.500 0.366 0.722 Ho
0.500 0.634 0.278 Ho
0.517 0.385 0.290 Ho
0.595 0.885 0.868 Ho
0.613 0.113 0.500 Ho
0.615 0.905 0.132 Ho
0.634 0.356 0.134 Ho
0.644 0.778 0.278 Ho
0.653 0.153 0.807 Ho
0.722 0.856 0.722 Ho
0.727 0.595 0.710 Ho
0.750 0.250 0.500 Ho
0.773 0.483 0.868 Ho
0.778 0.500 0.134 Ho
0.847 0.653 0.500 Ho
0.856 0.134 0.134 Ho
0.866 0.000 0.722 Ho
0.885 0.017 0.290 Ho
0.887 0.387 0.500 Ho
0.905 0.773 0.290 Ho
0.983 0.273 0.868 Ho
0.000 0.000 0.000 Ir
0.033 0.533 0.191 Ir
0.075 0.212 0.500 Ir
0.095 0.595 0.689 Ir
0.133 0.133 0.000 Ir
0.158 0.967 0.500 Ir
0.212 0.712 0.138 Ir
0.250 0.250 0.000 Ir
0.288 0.425 0.500 Ir
0.342 0.842 0.809 Ir
0.367 0.367 0.000 Ir
0.405 0.095 0.500 Ir
0.425 0.925 0.138 Ir
0.467 0.658 0.500 Ir
0.500 0.500 0.000 Ir
0.533 0.342 0.500 Ir
0.575 0.075 0.862 Ir
0.595 0.905 0.500 Ir
0.633 0.633 0.000 Ir
0.658 0.158 0.191 Ir
0.712 0.575 0.500 Ir
0.750 0.750 0.000 Ir
0.788 0.288 0.862 Ir
0.842 0.033 0.500 Ir
0.867 0.867 0.000 Ir
0.905 0.405 0.311 Ir
0.925 0.788 0.500 Ir
0.967 0.467 0.809 Ir
```

Results for calculated density: 11.0 9.1 9.8 6.6 5.8 10.7 9.1 13.7 (in Mg/m³, following the order of the records).